1.
This record from the Alexandria database describes Ac2TbCu9 after structural relaxation. The functional is PBE.

Values from the calculation:
- E_form: -0.080 eV/atom
- SG: R-3m (166)

POSCAR file:
```
Ac2TbCu9
1.0
5.269 0.000 0.000
2.635 4.563 0.000
2.635 1.521 8.846
Ac Cu Tb
2 9 1
direct
0.864 0.864 0.408
0.136 0.136 0.592
0.573 0.573 0.773
0.427 0.920 0.227
0.920 0.427 0.227
0.668 0.668 0.996
0.500 0.500 0.500
0.573 0.080 0.773
0.332 0.332 0.004
0.080 0.573 0.773
0.427 0.427 0.227
0.000 0.000 0.000
```

2.
This record from the Alexandria database describes AcTbCu2 after structural relaxation. The functional is PBE.

Values from the calculation:
- Energy relative to the lowest polymorph listed for this composition: 50 meV per atom
- E_form: -0.107 eV/atom
- SG: Fm-3m (225)

POSCAR file:
```
AcTbCu2
1.0
-4.621 0.163 2.313
-0.913 -2.929 4.161
-0.486 2.200 4.654
Cu Ac Tb
2 1 1
direct
0.250 0.250 0.250
0.750 0.750 0.750
0.500 0.500 0.500
0.000 0.000 0.000
```

3.
This record from the Alexandria database describes AcTbCu2 after structural relaxation. The functional is PBE.

Values from the calculation:
- Energy relative to the lowest polymorph listed for this composition: 4 meV per atom
- E_form: -0.152 eV/atom
- SG: P4/mmm (123)

POSCAR file:
```
AcTbCu2
1.0
-3.295 0.606 -1.416
0.102 -3.251 -1.629
-3.069 -3.027 5.850
Cu Tb Ac
2 1 1
direct
0.000 0.000 0.790
0.000 0.000 0.210
0.500 0.500 0.000
0.500 0.500 0.500
```

4.
This record from the Alexandria database describes AcTbCu4 after structural relaxation. The functional is PBE.

Values from the calculation:
- Energy relative to the lowest polymorph listed for this composition: 168 meV per atom
- E_form: -0.034 eV/atom
- SG: F-43m (216)

POSCAR file:
```
AcTbCu4
1.0
-0.301 4.201 -3.437
-4.215 3.423 0.254
0.720 5.067 1.832
Ac Tb Cu
1 1 4
direct
0.250 0.250 0.250
0.000 0.000 0.000
0.628 0.628 0.628
0.628 0.117 0.628
0.628 0.628 0.117
0.117 0.628 0.628
```

5.
This record from the Alexandria database describes AcTbCu4 after structural relaxation. The functional is PBE.

Values from the calculation:
- Energy relative to the lowest polymorph listed for this composition: 0 meV per atom
- E_form: -0.202 eV/atom
- SG: Immm (71)

POSCAR file:
```
AcTbCu4
1.0
3.776 0.000 1.815
1.779 5.435 1.133
-0.466 -0.269 5.805
Cu Ac Tb
4 1 1
direct
0.337 0.428 0.398
0.337 0.898 0.928
0.663 0.572 0.602
0.663 0.102 0.072
0.000 0.000 0.500
0.000 0.500 0.000
```

6.
This record from the Alexandria database describes AcTbCu2 after structural relaxation. The functional is PBE.

Values from the calculation:
- Energy relative to the lowest polymorph listed for this composition: 183 meV per atom
- E_form: 0.026 eV/atom
- SG: R-3m (166)

POSCAR file:
```
AcTbCu2
1.0
4.066 0.000 0.000
2.033 3.521 0.000
2.033 1.174 7.513
Tb Ac Cu
1 1 2
direct
0.000 0.000 0.000
0.500 0.500 0.500
0.258 0.258 0.226
0.742 0.742 0.774
```

7.
This record from the Alexandria database describes AcTb3Cu after structural relaxation. The functional is PBE.

Values from the calculation:
- E_form: 0.036 eV/atom
- SG: Pm-3m (221)

POSCAR file:
```
AcTb3Cu
1.0
5.478 0.000 0.000
0.000 5.478 0.000
0.000 0.000 5.478
Tb Ac Cu
3 1 1
direct
0.000 0.000 0.500
0.000 0.500 0.000
0.500 0.000 0.000
0.500 0.500 0.500
0.000 0.000 0.000
```

8.
This record from the Alexandria database describes AcTbCu3 after structural relaxation. The functional is PBE.

Values from the calculation:
- E_form: -0.207 eV/atom
- SG: Cmcm (63)

POSCAR file:
```
AcTbCu3
1.0
4.420 0.000 0.000
0.000 3.963 0.000
0.000 -1.982 12.806
Tb Ac Cu
2 2 6
direct
0.250 0.793 0.587
0.750 0.207 0.413
0.250 0.074 0.149
0.750 0.926 0.851
0.250 0.678 0.355
0.250 0.375 0.751
0.750 0.625 0.249
0.250 0.475 0.950
0.750 0.322 0.645
0.750 0.525 0.050
```

9.
This record from the Alexandria database describes AcTbCu2Te4 after structural relaxation. The functional is PBE.

Values from the calculation:
- SG: I222 (23)
- DFT total energy: -35.87 eV per cell

POSCAR file:
```
AcTbCu2Te4
1.0
7.348 0.000 0.000
3.674 5.836 0.009
3.674 0.488 5.815
Cu Te Ac Tb
2 4 1 1
direct
0.855 0.645 0.645
0.145 0.355 0.355
0.453 0.091 0.506
0.547 0.494 0.909
0.950 0.506 0.091
0.050 0.909 0.494
0.000 0.000 0.000
0.500 0.500 0.500
```

10.
This record from the Alexandria database describes AcTbTlCu after structural relaxation. The functional is PBE.

Values from the calculation:
- E_form: -0.163 eV/atom
- SG: F-43m (216)

POSCAR file:
```
AcTbTlCu
1.0
-5.237 -1.457 -0.386
-2.868 -1.075 4.507
-3.909 3.431 1.625
Cu Ac Tb Tl
1 1 1 1
direct
0.500 0.500 0.500
0.250 0.250 0.250
0.750 0.750 0.750
0.000 0.000 0.000
```

11.
This record from the Alexandria database describes AcTbZnCu after structural relaxation. The functional is PBE.

Values from the calculation:
- E_form: -0.171 eV/atom
- SG: F-43m (216)

POSCAR file:
```
AcTbZnCu
1.0
5.250 0.000 0.000
2.625 4.546 0.000
2.625 1.515 4.286
Zn Cu Tb Ac
1 1 1 1
direct
0.750 0.750 0.750
0.250 0.250 0.250
0.000 0.000 0.000
0.500 0.500 0.500
```

12.
This record from the Alexandria database describes Ac3CuTe6 after structural relaxation. The functional is PBE.

Values from the calculation:
- SG: Cmc2_1 (36)
- DFT total energy: -92.98 eV per cell

POSCAR file:
```
Ac3CuTe6
1.0
-5.222 -0.852 6.005
-0.597 -9.792 -1.909
7.557 -0.234 6.537
Te Ac Cu
12 6 2
direct
0.195 0.094 0.573
0.695 0.906 0.427
0.239 0.836 0.164
0.186 0.027 0.973
0.695 0.573 0.094
0.686 0.973 0.027
0.739 0.164 0.836
0.195 0.427 0.906
0.158 0.703 0.613
0.658 0.613 0.703
0.658 0.297 0.387
0.158 0.387 0.297
0.348 0.406 0.594
0.475 0.291 0.092
0.475 0.908 0.709
0.975 0.092 0.291
0.975 0.709 0.908
0.848 0.594 0.406
0.058 0.208 0.792
0.558 0.792 0.208
```

13.
This record from the Alexandria database describes Ac2CuTe3 after structural relaxation. The functional is PBE.

Values from the calculation:
- SG: Immm (71)
- DFT total energy: -28.50 eV per cell

POSCAR file:
```
Ac2CuTe3
1.0
-1.840 4.024 0.548
-2.921 -0.799 -3.938
-3.973 -5.260 7.149
Te Ac Cu
3 2 1
direct
0.000 0.500 0.000
0.824 0.824 0.649
0.176 0.176 0.351
0.638 0.638 0.276
0.362 0.362 0.724
0.000 0.000 0.000
```

14.
This record from the Alexandria database describes Ac2CuTe4 after structural relaxation. The functional is PBE.

Values from the calculation:
- SG: P2_1/m (11)
- DFT total energy: -66.30 eV per cell

POSCAR file:
```
Ac2CuTe4
1.0
7.909 0.000 0.077
0.000 6.531 0.000
-2.822 0.000 8.860
Ac Te Cu
4 8 2
direct
0.233 0.250 0.936
0.767 0.750 0.064
0.765 0.750 0.569
0.235 0.250 0.431
0.081 0.750 0.396
0.494 0.996 0.747
0.494 0.504 0.747
0.087 0.750 0.896
0.913 0.250 0.104
0.506 0.004 0.253
0.506 0.496 0.253
0.919 0.250 0.604
0.234 0.750 0.185
0.766 0.250 0.815
```

15.
This record from the Alexandria database describes AcCu2Te after structural relaxation. The functional is PBE.

Values from the calculation:
- SG: R-3m (166)
- DFT total energy: -16.62 eV per cell

POSCAR file:
```
AcCu2Te
1.0
4.480 0.000 0.000
2.240 3.879 0.000
2.240 1.293 5.428
Cu Ac Te
2 1 1
direct
0.778 0.778 0.665
0.222 0.222 0.335
0.000 0.000 0.000
0.500 0.500 0.500
```

16.
This record from the Alexandria database describes AcCu2Te3 after structural relaxation. The functional is PBE.

Values from the calculation:
- SG: C2/m (12)
- DFT total energy: -50.97 eV per cell

POSCAR file:
```
AcCu2Te3
1.0
-1.440 3.808 -1.809
-5.065 0.207 4.469
10.532 4.060 5.647
Ac Te Cu
2 6 4
direct
0.361 0.110 0.722
0.639 0.890 0.278
0.605 0.335 0.210
0.038 0.751 0.075
0.767 0.797 0.534
0.233 0.203 0.466
0.395 0.665 0.790
0.962 0.249 0.925
0.056 0.151 0.113
0.944 0.849 0.887
0.715 0.393 0.429
0.285 0.607 0.571
```

17.
This record from the Alexandria database describes Ac3CuTe2 after structural relaxation. The functional is PBE.

Values from the calculation:
- SG: Cm (8)
- DFT total energy: -28.59 eV per cell

POSCAR file:
```
Ac3CuTe2
1.0
4.549 0.000 -1.036
-0.236 4.542 -1.037
-0.008 -0.007 10.461
Ac Te Cu
3 2 1
direct
0.934 0.936 0.874
0.276 0.277 0.558
0.594 0.595 0.190
0.761 0.763 0.528
0.108 0.110 0.220
0.432 0.434 0.874
```

18.
This record from the Alexandria database describes Ac2ThCuTe5 after structural relaxation. The functional is PBE.

Values from the calculation:
- SG: Cmc2_1 (36)
- DFT total energy: -93.18 eV per cell

POSCAR file:
```
Ac2ThCuTe5
1.0
-2.366 -2.637 2.655
9.244 -3.269 1.299
1.701 8.942 10.397
Te Ac Cu Th
10 4 2 2
direct
0.343 0.687 0.020
0.308 0.616 0.359
0.305 0.609 0.687
0.498 0.995 0.755
0.980 0.960 0.514
0.695 0.391 0.187
0.502 0.005 0.255
0.020 0.040 0.014
0.657 0.313 0.520
0.692 0.384 0.859
0.115 0.230 0.344
0.885 0.770 0.844
0.120 0.240 0.699
0.880 0.760 0.199
0.562 0.124 0.924
0.438 0.876 0.424
0.822 0.645 0.522
0.178 0.355 0.022
```

19.
This record from the Alexandria database describes Ac2TmCuTe5 after structural relaxation. The functional is PBE.

Values from the calculation:
- SG: Cmc2_1 (36)
- DFT total energy: -88.40 eV per cell

POSCAR file:
```
Ac2TmCuTe5
1.0
-0.136 4.325 -1.076
0.198 -4.512 -8.927
-13.279 -0.435 -0.074
Te Ac Cu Tm
10 4 2 2
direct
0.649 0.298 0.502
0.713 0.425 0.166
0.692 0.383 0.852
0.308 0.617 0.352
0.499 0.998 0.286
0.351 0.702 0.002
0.955 0.911 0.556
0.287 0.575 0.666
0.045 0.089 0.056
0.501 0.002 0.786
0.110 0.221 0.688
0.124 0.249 0.309
0.876 0.751 0.809
0.890 0.779 0.188
0.427 0.854 0.455
0.573 0.146 0.955
0.191 0.382 0.010
0.809 0.618 0.510
```

20.
This record from the Alexandria database describes Ac2UCuTe5 after structural relaxation. The functional is PBE.

Values from the calculation:
- SG: Cmc2_1 (36)
- DFT total energy: -97.80 eV per cell

POSCAR file:
```
Ac2UCuTe5
1.0
4.485 0.000 0.000
-2.242 9.803 0.000
0.000 0.000 13.344
Cu Ac Te U
2 4 10 2
direct
0.573 0.146 0.955
0.427 0.854 0.455
0.124 0.248 0.309
0.110 0.221 0.688
0.876 0.752 0.809
0.890 0.779 0.188
0.045 0.089 0.054
0.689 0.379 0.849
0.644 0.288 0.503
0.356 0.712 0.003
0.501 0.001 0.785
0.289 0.577 0.670
0.955 0.911 0.554
0.711 0.423 0.170
0.311 0.621 0.349
0.499 0.999 0.285
0.806 0.612 0.510
0.194 0.388 0.010
```